Record 1
# PBEsol Zn2TeP, relaxed
# Formation energy (no corrections) = 244 meV/atom
# E above lowest polymorph = 0.375 eV per atom
data_Zn2TeP
_space_group_name_H-M_alt 'C m m m'
_space_group_IT_number 65
_space_group_name_Hall '-C 2 2'
_cell_length_a 3.7504
_cell_length_b 5.5596
_cell_length_c 7.4051
_cell_angle_alpha 90.00
_cell_angle_beta 90.00
_cell_angle_gamma 90.00
loop_
_atom_site_label
_atom_site_type_symbol
_atom_site_fract_x
_atom_site_fract_y
_atom_site_fract_z
_atom_site_occupancy
Zn1 Zn 0.0000 0.0000 0.2089 1
Te1 Te 0.0000 0.5000 0.5000 1
P1 P 0.0000 0.5000 0.0000 1

---

Record 2
# PBEsol KBaP2, relaxed
# Calculated formation energy = 0.079 eV per atom
# E above lowest polymorph = 0.705 eV per atom
data_KBaP2
_space_group_name_H-M_alt 'P 4/m m m'
_space_group_IT_number 123
_space_group_name_Hall '-P 4 2'
_cell_length_a 4.5931
_cell_length_b 4.5931
_cell_length_c 6.5003
_cell_angle_alpha 90.00
_cell_angle_beta 90.00
_cell_angle_gamma 90.00
loop_
_atom_site_label
_atom_site_type_symbol
_atom_site_fract_x
_atom_site_fract_y
_atom_site_fract_z
_atom_site_occupancy
K1 K 0.0000 0.0000 0.0000 1
Ba1 Ba 0.5000 0.5000 0.5000 1
P1 P 0.0000 0.0000 0.5000 1
P2 P 0.5000 0.5000 0.0000 1

---

Record 3
# PBEsol BaTa2In, relaxed
# Calculated formation energy = 0.707 eV per atom
# E above lowest polymorph = 0.269 eV per atom
data_BaTa2In
_space_group_name_H-M_alt 'P 1 2/m 1'
_space_group_IT_number 10
_cell_length_a 3.0306
_cell_length_b 5.1641
_cell_length_c 6.5928
_cell_angle_alpha 90.00
_cell_angle_beta 95.57
_cell_angle_gamma 90.00
loop_
_space_group_symop_operation_xyz
'x,y,z'
'-x,-y,-z'
'-x,y,-z'
'x,-y,z'
loop_
_atom_site_label
_atom_site_type_symbol
_atom_site_fract_x
_atom_site_fract_y
_atom_site_fract_z
_atom_site_occupancy
Ba1 Ba 0.0000 0.0000 0.0000 1
Ta1 Ta 0.2850 0.5000 0.6642 1
In1 In 0.5000 0.0000 0.5000 1

---

Record 4
# PBEsol EuZnPb, relaxed
# Calculated formation energy = -0.404 eV per atom
data_EuZnPb
_space_group_name_H-M_alt 'C 1 2/m 1'
_space_group_IT_number 12
_cell_length_a 11.4074
_cell_length_b 4.5985
_cell_length_c 7.5309
_cell_angle_alpha 90.00
_cell_angle_beta 130.42
_cell_angle_gamma 90.00
loop_
_space_group_symop_operation_xyz
'x,y,z'
'-x,-y,-z'
'-x,y,-z'
'x,-y,z'
'x+1/2,y+1/2,z'
'-x+1/2,-y+1/2,-z'
'-x+1/2,y+1/2,-z'
'x+1/2,-y+1/2,z'
loop_
_atom_site_label
_atom_site_type_symbol
_atom_site_fract_x
_atom_site_fract_y
_atom_site_fract_z
_atom_site_occupancy
Eu1 Eu 0.0528 0.0000 0.3035 1
Zn1 Zn 0.1401 0.5000 0.0927 1
Pb1 Pb 0.1782 0.5000 0.7440 1

---

Record 5
# PBEsol SmBiPd2, relaxed
# Calculated formation energy = -0.725 eV per atom
data_SmBiPd2
_space_group_name_H-M_alt 'F m -3 m'
_space_group_IT_number 225
_space_group_name_Hall '-F 4 2 3'
_cell_length_a 6.8894
_cell_length_b 6.8894
_cell_length_c 6.8894
_cell_angle_alpha 90.00
_cell_angle_beta 90.00
_cell_angle_gamma 90.00
loop_
_atom_site_label
_atom_site_type_symbol
_atom_site_fract_x
_atom_site_fract_y
_atom_site_fract_z
_atom_site_occupancy
Sm1 Sm 0.0000 0.0000 0.0000 1
Bi1 Bi 0.0000 0.0000 0.5000 1
Pd1 Pd 0.2500 0.2500 0.2500 1

---

Record 6
# PBEsol FeTeF3, relaxed
# Formation energy (no corrections) = -1085 meV/atom
data_FeTeF3
_space_group_name_H-M_alt 'P m -3 m'
_space_group_IT_number 221
_space_group_name_Hall '-P 4 2 3'
_cell_length_a 4.1536
_cell_length_b 4.1536
_cell_length_c 4.1536
_cell_angle_alpha 90.00
_cell_angle_beta 90.00
_cell_angle_gamma 90.00
loop_
_atom_site_label
_atom_site_type_symbol
_atom_site_fract_x
_atom_site_fract_y
_atom_site_fract_z
_atom_site_occupancy
Fe1 Fe 0.0000 0.0000 0.0000 1
Te1 Te 0.5000 0.5000 0.5000 1
F1 F 0.0000 0.0000 0.5000 1

---

Record 7
# PBEsol MnTl2InBi, relaxed
# Calculated formation energy = 0.757 eV per atom
data_MnTl2InBi
_space_group_name_H-M_alt 'P 4/m m m'
_space_group_IT_number 123
_space_group_name_Hall '-P 4 2'
_cell_length_a 5.5253
_cell_length_b 5.5253
_cell_length_c 5.1216
_cell_angle_alpha 90.00
_cell_angle_beta 90.00
_cell_angle_gamma 90.00
loop_
_atom_site_label
_atom_site_type_symbol
_atom_site_fract_x
_atom_site_fract_y
_atom_site_fract_z
_atom_site_occupancy
Mn1 Mn 0.0000 0.0000 0.0000 1
Tl1 Tl 0.0000 0.5000 0.5000 1
In1 In 0.0000 0.0000 0.5000 1
Bi1 Bi 0.5000 0.5000 0.0000 1

---

Record 8
# PBEsol Cs5Re6S8Cl7, relaxed
# Formation energy (no corrections) = -1181 meV/atom
data_Cs5Re6S8Cl7
_space_group_name_H-M_alt 'R 3 c'
_space_group_IT_number 161
_space_group_name_Hall 'R 3 -2"c'
_cell_length_a 9.7363
_cell_length_b 9.7363
_cell_length_c 53.1718
_cell_angle_alpha 90.00
_cell_angle_beta 90.00
_cell_angle_gamma 120.00
loop_
_atom_site_label
_atom_site_type_symbol
_atom_site_fract_x
_atom_site_fract_y
_atom_site_fract_z
_atom_site_occupancy
Cs1 Cs 0.0000 0.0000 0.0000 1
Cs2 Cs 0.0000 0.0000 0.1762 1
Cs3 Cs 0.0000 0.3117 0.0852 1
Re1 Re 0.0245 0.1650 0.8556 1
Re2 Re 0.1648 0.0237 0.3156 1
S1 S 0.0000 0.0000 0.2802 1
S2 S 0.0000 0.0000 0.3910 1
S3 S 0.0291 0.4060 0.4839 1
S4 S 0.0735 0.3626 0.0206 1
Cl1 Cl 0.0000 0.0000 0.0639 1
Cl2 Cl 0.0080 0.2849 0.9560 1
Cl3 Cl 0.0656 0.3823 0.8824 1

---

Record 9
# PBEsol Zr3FeO, relaxed
# Formation energy (no corrections) = -976 meV/atom
data_Zr3FeO
_space_group_name_H-M_alt 'P m -3 m'
_space_group_IT_number 221
_space_group_name_Hall '-P 4 2 3'
_cell_length_a 4.3567
_cell_length_b 4.3567
_cell_length_c 4.3567
_cell_angle_alpha 90.00
_cell_angle_beta 90.00
_cell_angle_gamma 90.00
loop_
_atom_site_label
_atom_site_type_symbol
_atom_site_fract_x
_atom_site_fract_y
_atom_site_fract_z
_atom_site_occupancy
Zr1 Zr 0.0000 0.0000 0.5000 1
Fe1 Fe 0.5000 0.5000 0.5000 1
O1 O 0.0000 0.0000 0.0000 1

---

Record 10
# PBEsol PrNiGe, relaxed
# Calculated formation energy = -0.712 eV per atom
data_PrNiGe
_space_group_name_H-M_alt 'P n m a'
_space_group_IT_number 62
_cell_length_a 7.2648
_cell_length_b 4.3518
_cell_length_c 7.0102
_cell_angle_alpha 90.00
_cell_angle_beta 90.00
_cell_angle_gamma 90.00
loop_
_space_group_symop_operation_xyz
'x,y,z'
'-x,-y,-z'
'-x+1/2,-y,z+1/2'
'x+1/2,y,-z+1/2'
'x+1/2,-y+1/2,-z+1/2'
'-x+1/2,y+1/2,z+1/2'
'-x,y+1/2,-z'
'x,-y+1/2,z'
loop_
_atom_site_label
_atom_site_type_symbol
_atom_site_fract_x
_atom_site_fract_y
_atom_site_fract_z
_atom_site_occupancy
Pr1 Pr 0.0217 0.2500 0.1895 1
Ni1 Ni 0.1711 0.7500 0.4181 1
Ge1 Ge 0.1834 0.2500 0.5953 1

---

Record 11
# PBEsol FeCo, relaxed
# Calculated formation energy = 0.056 eV per atom
data_FeCo
_space_group_name_H-M_alt 'C m m e'
_space_group_IT_number 67
_space_group_name_Hall '-C 2a 2'
_cell_length_a 2.7729
_cell_length_b 3.9511
_cell_length_c 7.8898
_cell_angle_alpha 90.00
_cell_angle_beta 90.00
_cell_angle_gamma 90.00
loop_
_atom_site_label
_atom_site_type_symbol
_atom_site_fract_x
_atom_site_fract_y
_atom_site_fract_z
_atom_site_occupancy
Fe1 Fe 0.0000 0.2500 0.1266 1
Co1 Co 0.0000 0.2500 0.6246 1

---

Record 12
# PBEsol BeSiPt2, relaxed
# Formation energy (no corrections) = -656 meV/atom
data_BeSiPt2
_space_group_name_H-M_alt 'C 1 m 1'
_space_group_IT_number 8
_cell_length_a 8.4739
_cell_length_b 3.0527
_cell_length_c 4.1039
_cell_angle_alpha 90.00
_cell_angle_beta 104.95
_cell_angle_gamma 90.00
loop_
_space_group_symop_operation_xyz
'x,y,z'
'x,-y,z'
'x+1/2,y+1/2,z'
'x+1/2,-y+1/2,z'
loop_
_atom_site_label
_atom_site_type_symbol
_atom_site_fract_x
_atom_site_fract_y
_atom_site_fract_z
_atom_site_occupancy
Be1 Be 0.0000 0.0000 0.0000 1
Si1 Si 0.2575 0.5000 0.3496 1
Pt1 Pt 0.2643 0.0000 0.8811 1
Pt2 Pt 0.4971 0.0000 0.4845 1